[1]
Tb4BiAsS2 | PBE | optimized geometry

Computed properties:
* formation energy from raw total energies: -1.5600 eV per atom

a = 4.126 Å, b = 7.115 Å, c = 7.203 Å
α = 70.49°, β = 90.00°, γ = 90.00°
Fractional coordinates of all 8 atoms:
1 S 0.500 0.000 0.500
2 S 0.000 0.000 0.000
3 Tb 0.000 0.773 0.726
4 Tb 0.500 0.760 0.261
5 Tb 0.000 0.227 0.274
6 Tb 0.500 0.240 0.739
7 As 0.000 0.500 0.500
8 Bi 0.500 0.500 0.000

[2]
Tb4Bi2AsS | PBE | optimized geometry

Computed properties:
* formation energy from raw total energies: -1.2880 eV per atom

a = 4.245 Å, b = 7.458 Å, c = 7.338 Å
α = 70.85°, β = 90.00°, γ = 90.00°
Fractional coordinates of all 8 atoms:
1 As 0.000 0.500 0.500
2 Tb 0.500 0.725 0.258
3 Tb 0.000 0.724 0.759
4 Tb 0.500 0.275 0.742
5 Tb 0.000 0.276 0.241
6 S 0.500 0.500 0.000
7 Bi 0.000 0.000 0.000
8 Bi 0.500 0.000 0.500

[3]
Tb6BiAs2S3 | PBE | optimized geometry

Computed properties:
* formation energy from raw total energies: -1.6384 eV per atom

a = 4.100 Å, b = 8.206 Å, c = 9.154 Å
α = 102.50°, β = 102.94°, γ = 90.00°
Fractional coordinates of all 12 atoms:
1 As 0.833 0.666 0.666
2 As 0.167 0.334 0.334
3 Tb 0.325 0.910 0.649
4 Tb 0.000 0.274 0.001
5 Tb 0.000 0.726 0.999
6 Tb 0.667 0.583 0.335
7 Tb 0.333 0.417 0.665
8 Tb 0.675 0.090 0.351
9 S 0.835 0.168 0.671
10 S 0.165 0.832 0.329
11 S 0.500 0.500 0.000
12 Bi 0.500 0.000 0.000

What did the second record say?
Tb4Bi2AsS | PBE | optimized geometry

Computed properties:
* formation energy from raw total energies: -1.2880 eV per atom

a = 4.245 Å, b = 7.458 Å, c = 7.338 Å
α = 70.85°, β = 90.00°, γ = 90.00°
Fractional coordinates of all 8 atoms:
1 As 0.000 0.500 0.500
2 Tb 0.500 0.725 0.258
3 Tb 0.000 0.724 0.759
4 Tb 0.500 0.275 0.742
5 Tb 0.000 0.276 0.241
6 S 0.500 0.500 0.000
7 Bi 0.000 0.000 0.000
8 Bi 0.500 0.000 0.500